# LaHfH3

LaHfH3 after structural relaxation (PBE-GGA, Alexandria via LeMat-Bulk).

Values from the calculation:
Its space group is Pm-3m, No. 221. The relative energy among the computed polymorphs comes out at 0.000 eV per atom.

a b c (Å): 4.0126 4.0126 4.0126
angles (deg): 90.00 90.00 90.00
Last column: nearest neighbours and their distance in Å.
Positions (direct):
H1 0.0000 0.5000 0.0000  2 Hf 2.01
H2 0.0000 0.0000 0.5000  2 Hf 2.01
H3 0.5000 0.0000 0.0000  2 Hf 2.01
Hf1 0.0000 0.0000 0.0000  6 H 2.01
La1 0.5000 0.5000 0.5000  12 H 2.84

---

# Pm2S3

Pm2S3 after structural relaxation (PBE-GGA, Alexandria via LeMat-Bulk).

Values from the calculation:
Its space group is R-3c, No. 167. The relative energy among the computed polymorphs comes out at 0.049 eV per atom. The value obtained for the formation energy (no corrections) is -10.1 eV/f.u.

a b c (Å): 7.5182 7.5182 7.5182
angles (deg): 56.70 56.70 56.70
Last column: nearest neighbours and their distance in Å.
Positions (direct):
Pm1 0.8530 0.8530 0.8530  6 S 2.79-2.87
Pm2 0.6470 0.6470 0.6470  6 S 2.79-2.87
Pm3 0.3530 0.3530 0.3530  6 S 2.79-2.87
Pm4 0.1470 0.1470 0.1470  6 S 2.79-2.87
S1 0.9535 0.2500 0.5465  4 Pm 2.79-2.87
S2 0.2500 0.5465 0.9535  4 Pm 2.79-2.87
S3 0.5465 0.9535 0.2500  4 Pm 2.79-2.87
S4 0.4535 0.0465 0.7500  4 Pm 2.79-2.87
S5 0.7500 0.4535 0.0465  4 Pm 2.79-2.87
S6 0.0465 0.7500 0.4535  4 Pm 2.79-2.87

---

# RbIrRu

RbIrRu after structural relaxation (PBE-GGA, Alexandria via LeMat-Bulk).

Values from the calculation:
The energy relative to the elements comes out at 0.50 eV/atom. Its space group is P-1, No. 2. The relative energy among the computed polymorphs comes out at 0.000 eV per atom.

a b c (Å): 4.7596 10.6276 4.7535
angles (deg): 81.21 113.17 90.59
Last column: nearest neighbours and their distance in Å.
Positions (direct):
Ru1 0.8350 0.7920 0.6934  4 Ir 2.53-2.62, 2 Ru 2.56
Ru2 0.3469 0.7024 0.7287  4 Ir 2.53-2.62, 2 Ru 2.56
Ir1 0.3357 0.7861 0.1957  2 Ir 2.52, 4 Ru 2.53-2.62
Ir2 0.8460 0.7083 0.2264  2 Ir 2.52, 4 Ru 2.53-2.62
Rb1 0.3026 0.0394 0.5959  3 Ru 3.52-3.53, 2 Ir 3.56-3.57
Rb2 0.8808 0.4551 0.8272  3 Ru 3.52-3.53, 2 Ir 3.56-3.57

---

# Sr2Ag2Ge

Sr2Ag2Ge after structural relaxation (PBE-GGA, Alexandria via LeMat-Bulk).

Values from the calculation:
The energy relative to the elements comes out at -0.24 eV/atom. Its space group is P4/mbm, No. 127. The relative energy among the computed polymorphs comes out at 0.118 eV per atom.

a b c (Å): 7.7485 7.7485 4.5974
angles (deg): 90.00 90.00 90.00
Last column: nearest neighbours and their distance in Å.
Positions (direct):
Sr1 0.1842 0.6842 0.5000  6 Ag 3.10-3.36
Sr2 0.6842 0.8158 0.5000  6 Ag 3.10-3.36
Sr3 0.8158 0.3158 0.5000  6 Ag 3.10-3.36
Sr4 0.3158 0.1842 0.5000  6 Ag 3.10-3.36
Ge1 0.0000 0.0000 0.0000  4 Ag 3.06
Ge2 0.5000 0.5000 0.0000  4 Ag 3.06
Ag1 0.3742 0.8742 0.0000  1 Ag 2.76, 2 Ge 3.06
Ag2 0.8742 0.6258 0.0000  1 Ag 2.76, 2 Ge 3.06
Ag3 0.6258 0.1258 0.0000  1 Ag 2.76, 2 Ge 3.06
Ag4 0.1258 0.3742 0.0000  1 Ag 2.76, 2 Ge 3.06

---

# TbPmPr2Se5

TbPmPr2Se5 after structural relaxation (PBE-GGA, Alexandria via LeMat-Bulk).

Values from the calculation:
Its space group is P4/mmm, No. 123. The value obtained for the formation energy (no corrections) is -11.6 eV/f.u.

a b c (Å): 5.1686 5.1686 10.9691
angles (deg): 90.00 90.00 90.00
Last column: nearest neighbours and their distance in Å.
Positions (direct):
Tb1 0.0000 0.0000 0.5000  6 Se 2.58-2.76
Pm1 0.0000 0.0000 0.0000  2 Se 2.73
Pr1 0.5000 0.5000 0.3255  5 Se 3.22-3.57
Pr2 0.5000 0.5000 0.6745  5 Se 3.22-3.57
Se1 0.0000 0.5000 0.5000  2 Tb 2.58
Se2 0.5000 0.0000 0.5000  2 Tb 2.58
Se3 0.0000 0.0000 0.7514  1 Pm 2.73, 1 Tb 2.76
Se4 0.0000 0.0000 0.2486  1 Pm 2.73, 1 Tb 2.76
Se5 0.5000 0.5000 0.0000  2 Pr 3.57, 4 Pm 3.65

---

# LaPmYSc

LaPmYSc after structural relaxation (PBE-GGA, Alexandria via LeMat-Bulk).

Values from the calculation:
The energy relative to the elements comes out at 0.14 eV/atom. Its space group is F-43m, No. 216. The relative energy among the computed polymorphs comes out at 0.050 eV per atom.

a b c (Å): 5.6652 5.6652 5.6652
angles (deg): 60.00 60.00 60.00
Last column: nearest neighbours and their distance in Å.
Positions (direct):
Y1 0.7500 0.7500 0.7500  4 Sc 3.47, 4 Pm 3.47
Sc1 0.0000 0.0000 0.0000  4 Y 3.47, 4 La 3.47
La1 0.2500 0.2500 0.2500  4 Sc 3.47, 4 Pm 3.47
Pm1 0.5000 0.5000 0.5000  4 Y 3.47, 4 La 3.47

---

| no. | magnetic moment (μB/f.u.) |
| --- | --- |
| 1 | 0.00 |
| 2 | 0.00 |
| 3 | 0.00 |
| 4 | 0.00 |
| 5 | 0.00 |
| 6 | 0.04 |